First-principles (PBE) data for crystalline ZnPtSe2 at its relaxed geometry, as listed in Alexandria via LeMat-Bulk.

The structure in POSCAR format:
```
ZnPtSe2
1.0
2.923 0.000 0.000
0.000 5.097 0.000
0.000 0.000 4.770
Pt Zn Se
1 1 2
Cartesian
0.000 2.548 2.385
1.462 0.000 2.385
0.000 0.000 0.000
1.462 2.548 0.000
```

Crystal system: orthorhombic
E_tot in eV per atom: -3.35
Uncorrected formation energy in eV per formula unit: 0.9
D(E_F) in states/eV per cell: 1.62

=====

First-principles (PBE) data for crystalline Rb2U3TiO12 at its relaxed geometry, as listed in Alexandria via LeMat-Bulk.

The structure in POSCAR format:
```
Rb2U3TiO12
1.0
-6.655 -0.241 -3.556
-5.564 -3.782 3.426
-5.600 4.108 2.959
O U Ti Rb
12 3 1 2
Cartesian
-7.967 0.206 4.105
-13.191 -2.558 0.764
-9.204 2.558 2.735
-12.513 0.235 4.949
-8.616 -2.472 0.093
-9.181 -2.301 3.023
-5.307 -0.150 -2.120
-8.639 2.387 -0.195
-9.853 -0.121 -1.276
-4.629 2.644 2.064
-4.606 -2.424 2.364
-13.214 2.510 0.464
-2.800 2.054 1.479
-2.782 -1.891 1.713
-3.328 -0.121 -1.778
0.000 0.000 0.000
-6.605 0.032 1.048
-11.214 0.054 1.780
```

Crystal system: trigonal
E_tot in eV per atom: -8.66
Uncorrected formation energy in eV per formula unit: -52.7
D(E_F) in states/eV per cell: 0.00

=====

First-principles (PBE) data for crystalline YGeW3 at its relaxed geometry, as listed in Alexandria via LeMat-Bulk.

The structure in POSCAR format:
```
YGeW3
1.0
-0.790 -2.997 -3.756
-0.352 -3.760 3.074
-4.792 0.770 0.394
W Ge Y
3 1 1
Cartesian
-2.396 0.385 0.197
-0.176 -1.880 1.537
-0.395 -1.498 -1.878
-2.967 -2.993 -0.144
0.000 0.000 0.000
```

Crystal system: cubic
Relative energy among the computed polymorphs in meV/atom: 1917
Formation energy from the elements in eV per atom: 3.118
E_tot in eV per atom: -6.87
D(E_F) in states/eV per cell: 6.36

=====

E_tot of number 1 (ZnPtSe2)? -3.35 eV per atom

=====

Which value of D(E_F) does entry 2 give? 0.00 states/eV per cell

=====

The lowest E_tot belongs to which entry? Rb2U3TiO12